(1)
First-principles (PBE) data for a relaxed structure of NpAgGe, as listed in Alexandria via LeMat-Bulk.

Cell: 4.8203 4.8203 3.0358 Å, 90.00 90.00 120.00°
Atoms (fractional coordinates):
Np 0.0000 0.0000 0.0000
Ag 0.3333 0.6667 0.5000
Ge 0.6667 0.3333 0.5000

Computed properties:
* DFT formation energy: 0.014 eV per atom
* ρ: 11.35 g cm⁻³

(2)
First-principles (PBE) data for a relaxed structure of NpAgGe2, as listed in Alexandria via LeMat-Bulk.

Cell: 4.8270 4.8270 4.8270 Å, 60.34 60.34 60.34°
Atoms (fractional coordinates):
Np 0.0000 0.0000 0.0000
Ag 0.5000 0.5000 0.5000
Ge 0.2506 0.2506 0.2506
Ge 0.7494 0.7494 0.7494

Computed properties:
* DFT formation energy: 0.046 eV per atom
* ρ: 10.16 g cm⁻³

(3)
First-principles (PBE) data for a relaxed structure of NpAg2GeO6, as listed in Alexandria via LeMat-Bulk.

Cell: 5.5794 5.5794 5.5492 Å, 119.70 119.70 61.09°
Atoms (fractional coordinates):
Np 0.0000 0.0000 0.0000
Ag 0.2515 0.2515 0.7451
Ag 0.7485 0.7485 0.2549
Ge 0.5000 0.5000 0.5000
O 0.2182 0.6968 0.6964
O 0.2603 0.2603 0.1775
O 0.3032 0.7818 0.3036
O 0.6968 0.2182 0.6964
O 0.7397 0.7397 0.8225
O 0.7818 0.3032 0.3036

Computed properties:
* ΔE_f (raw): -1485 kJ/mol of formula units
* ρ: 8.34 g cm⁻³

(4)
First-principles (PBE) data for a relaxed structure of NpAgGeO6, as listed in Alexandria via LeMat-Bulk.

Cell: 5.3014 5.3014 10.1130 Å, 90.00 90.00 120.00°
Atoms (fractional coordinates):
Np 0.3333 0.6667 0.2500
Np 0.6667 0.3333 0.7500
Ag 0.0000 0.0000 0.0000
Ag 0.0000 0.0000 0.5000
Ge 0.3333 0.6667 0.7500
Ge 0.6667 0.3333 0.2500
O 0.0171 0.3771 0.6440
O 0.0171 0.6400 0.8560
O 0.3600 0.3771 0.8560
O 0.3600 0.9829 0.6440
O 0.3771 0.0171 0.1440
O 0.3771 0.3600 0.3560
O 0.6229 0.6400 0.6440
O 0.6229 0.9829 0.8560
O 0.6400 0.0171 0.3560
O 0.6400 0.6229 0.1440
O 0.9829 0.3600 0.1440
O 0.9829 0.6229 0.3560

Computed properties:
* ΔE_f (raw): -1439 kJ/mol of formula units
* ρ: 6.93 g cm⁻³

(5)
First-principles (PBE) data for a relaxed structure of AgGe2O4, as listed in Alexandria via LeMat-Bulk.

Cell: 5.6843 5.6843 5.6843 Å, 103.07 103.07 123.21°
Atoms (fractional coordinates):
Ag 0.0000 0.0000 0.0000
Ge 0.2500 0.7500 0.5000
Ge 0.7500 0.2500 0.5000
O 0.0754 0.6655 0.7410
O 0.3345 0.0754 0.4099
O 0.6655 0.9246 0.5901
O 0.9246 0.3345 0.2590

Computed properties:
* relative energy among the computed polymorphs: 187.4 meV/atom
* ΔE_f (raw): -647 kJ/mol of formula units
* ρ: 3.90 g cm⁻³

(6)
First-principles (PBE) data for a relaxed structure of Ag2GeO3, as listed in Alexandria via LeMat-Bulk.

Cell: 7.2406 7.2406 7.2406 Å, 156.39 150.19 38.37°
Atoms (fractional coordinates):
Ag 0.1866 0.1866 0.0000
Ag 0.8134 0.8134 0.0000
Ge 0.5000 0.5000 0.0000
O 0.0000 0.5000 0.5000
O 0.4057 0.9057 0.5000
O 0.5943 0.0943 0.5000

Computed properties:
* relative energy among the computed polymorphs: 166.4 meV/atom
* ΔE_f (raw): -396 kJ/mol of formula units
* ρ: 7.40 g cm⁻³

| no. | calculated total energy (eV per formula unit) |
| --- | --- |
| 1 | -20.4 |
| 2 | -24.8 |
| 3 | -68.4 |
| 4 | -65.1 |
| 5 | -38.6 |
| 6 | -29.3 |